Here is a geometry-optimized InRe2Rh structure from Alexandria. Energies are from GGA-PBE.

abc: 5.1458 5.1458 5.1458
angles: 136.54 136.54 63.15
Last column: nearest neighbours and their distance in Å.
Fractional coordinates of all 4 atoms:
Re  0.2500  0.7500  0.5000  4 Re 2.69, 4 In 2.90, 4 Rh 2.90
Re  0.7500  0.2500  0.5000  4 Re 2.69, 4 In 2.90, 4 Rh 2.90
Rh  0.0000  0.0000  0.0000  4 In 2.69, 8 Re 2.90
In  0.5000  0.5000  0.0000  4 Rh 2.69, 8 Re 2.90

Properties
Its formation enthalpy at 0 K is 1.18 eV per formula unit. The calculation puts the spin magnetization at 0.00 μB per formula unit. For the density of states at the Fermi level, the calculation gives 2.30 states/eV/f.u.



Here is a geometry-optimized InReRh2 structure from Alexandria. Energies are from GGA-PBE.

abc: 5.6919 5.6919 7.1502
angles: 66.55 66.55 90.00
Last column: nearest neighbours and their distance in Å.
Fractional coordinates of all 8 atoms:
Rh  0.8750  0.9131  0.7500  2 Re 2.38, 2 In 2.63
Rh  0.3750  0.3369  0.7500  2 Re 2.38, 2 In 2.63
Rh  0.6631  0.1250  0.2500  2 Re 2.38, 2 In 2.63
Rh  0.0869  0.6250  0.2500  2 Re 2.38, 2 In 2.63
Re  0.0000  0.0000  0.0000  4 Rh 2.38
Re  0.7500  0.2500  0.5000  4 Rh 2.38
In  0.2500  0.7500  0.5000  4 Rh 2.63
In  0.5000  0.5000  0.0000  4 Rh 2.63

Properties
Its formation enthalpy at 0 K is 3.53 eV per formula unit. The calculation puts the spin magnetization at 0.00 μB per formula unit. For the density of states at the Fermi level, the calculation gives 3.72 states/eV/f.u.



Here is a geometry-optimized InRe2Rh structure from Alexandria. Energies are from GGA-PBE.

abc: 7.4695 7.4695 5.8782
angles: 50.55 50.55 90.00
Last column: nearest neighbours and their distance in Å.
Fractional coordinates of all 8 atoms:
In  0.7500  0.2500  0.5000  2 Rh 2.58
In  0.0000  0.0000  0.0000  2 Rh 2.58
Re  0.5853  0.1250  0.2500  2 Rh 2.52, 2 Re 2.65
Re  0.3750  0.4147  0.7500  2 Rh 2.52, 2 Re 2.65
Re  0.1647  0.6250  0.2500  2 Rh 2.52, 2 Re 2.65
Re  0.8750  0.8353  0.7500  2 Rh 2.52, 2 Re 2.65
Rh  0.5000  0.5000  0.0000  4 Re 2.52, 2 In 2.58
Rh  0.2500  0.7500  0.5000  4 Re 2.52, 2 In 2.58

Properties
Its formation enthalpy at 0 K is 3.71 eV per formula unit. The calculation puts the spin magnetization at 0.00 μB per formula unit. For the density of states at the Fermi level, the calculation gives 4.87 states/eV/f.u.



Here is a geometry-optimized InRe2Rh structure from Alexandria. Energies are from GGA-PBE.

abc: 9.3674 9.3674 9.3674
angles: 17.40 17.40 17.40
Last column: nearest neighbours and their distance in Å.
Fractional coordinates of all 4 atoms:
In  0.0000  0.0000  0.0000  6 In 2.83, 6 Re 2.95
Re  0.2448  0.2448  0.2448  3 Rh 2.71, 6 Re 2.83, 3 In 2.95
Re  0.7552  0.7552  0.7552  3 Rh 2.71, 6 Re 2.83, 3 In 2.95
Rh  0.5000  0.5000  0.5000  6 Re 2.71, 6 Rh 2.83

Properties
Its formation enthalpy at 0 K is 1.48 eV per formula unit. The calculation puts the spin magnetization at 0.00 μB per formula unit. For the density of states at the Fermi level, the calculation gives 4.86 states/eV/f.u.



Here is a geometry-optimized InRe4Rh2 structure from Alexandria. Energies are from GGA-PBE.

abc: 4.7767 4.7767 7.1578
angles: 70.51 70.51 90.00
Last column: nearest neighbours and their distance in Å.
Fractional coordinates of all 7 atoms:
Re  0.2064  0.2064  0.5872  1 Rh 2.30
Re  0.7936  0.7936  0.4128  1 Rh 2.30
Re  0.0000  0.5000  0.0000  2 In 2.39
Re  0.5000  0.0000  0.0000  2 In 2.39
Rh  0.3889  0.3889  0.2223  1 Re 2.30
Rh  0.6111  0.6111  0.7777  1 Re 2.30
In  0.0000  0.0000  0.0000  6 Re 2.39-2.60

Properties
Its formation enthalpy at 0 K is 16.49 eV per formula unit. The calculation puts the spin magnetization at 2.64 μB per formula unit. For the density of states at the Fermi level, the calculation gives 6.27 states/eV/f.u.



Here is a geometry-optimized InReRh2 structure from Alexandria. Energies are from GGA-PBE.

abc: 2.8582 2.8582 7.7674
angles: 90.00 90.00 90.00
Last column: nearest neighbours and their distance in Å.
Fractional coordinates of all 4 atoms:
Rh  0.5000  0.5000  0.2434  4 In 2.80, 8 Rh 2.82-2.86
Rh  0.0000  0.0000  0.9909  4 Re 2.63, 8 Rh 2.82-2.86
Re  0.5000  0.5000  0.7735  4 Rh 2.63, 4 Re 2.86
In  0.0000  0.0000  0.4923  4 Rh 2.80, 4 In 2.86, 4 Re 2.98

Properties
Its formation enthalpy at 0 K is 0.41 eV per formula unit. The calculation puts the spin magnetization at 0.00 μB per formula unit. For the density of states at the Fermi level, the calculation gives 4.91 states/eV/f.u.



Here is a geometry-optimized InReRh2 structure from Alexandria. Energies are from GGA-PBE.

abc: 2.8494 3.8230 5.7786
angles: 90.00 90.00 90.00
Last column: nearest neighbours and their distance in Å.
Fractional coordinates of all 4 atoms:
In  0.5000  0.5000  0.0000  2 In 2.85, 8 Rh 2.85, 2 Re 2.89
Re  0.5000  0.5000  0.5000  8 Rh 2.73, 2 Re 2.85, 2 In 2.89
Rh  0.0000  0.0000  0.2708  3 Rh 2.65-2.85, 4 Re 2.73, 4 In 2.85
Rh  0.0000  0.0000  0.7292  3 Rh 2.65-2.85, 4 Re 2.73, 4 In 2.85

Properties
Its formation enthalpy at 0 K is -0.22 eV per formula unit. The calculation puts the spin magnetization at 0.00 μB per formula unit. For the density of states at the Fermi level, the calculation gives 3.19 states/eV/f.u.



Here is a geometry-optimized InRe2Rh structure from Alexandria. Energies are from GGA-PBE.

abc: 4.9445 2.8635 4.6428
angles: 88.37 90.00 90.00
Last column: nearest neighbours and their distance in Å.
Fractional coordinates of all 4 atoms:
Rh  0.5000  0.5000  0.0000  4 In 2.69-2.76, 4 Re 2.79, 2 Rh 2.86
Re  0.0000  0.3084  0.7495  2 Re 2.54-2.60, 2 Rh 2.79
Re  0.0000  0.6916  0.2505  2 Re 2.54-2.60, 2 Rh 2.79
In  0.5000  0.0000  0.5000  4 Rh 2.69-2.76, 2 In 2.86, 4 Re 2.88

Properties
Its formation enthalpy at 0 K is 1.60 eV per formula unit. The calculation puts the spin magnetization at 0.00 μB per formula unit. For the density of states at the Fermi level, the calculation gives 3.57 states/eV/f.u.



What is the formation enthalpy at 0 K in the fifth record?
16.49 eV per formula unit